Entry from Alexandria via LeMat-Bulk: a geometry-optimized Ce2DyZnS5 structure (PBE).

a = 3.896 Å, b = 8.695 Å, c = 11.910 Å
α = 90.00°, β = 90.00°, γ = 102.95°
Fractional positions:
Ce1 0.871 0.741 0.818
Ce2 0.115 0.230 0.686
Ce3 0.129 0.259 0.318
Ce4 0.885 0.770 0.186
Dy1 0.799 0.597 0.515
Dy2 0.201 0.403 0.015
Zn1 0.548 0.096 0.948
Zn2 0.452 0.904 0.448
S1 0.360 0.719 0.005
S2 0.685 0.369 0.855
S3 0.495 0.990 0.771
S4 0.292 0.584 0.674
S5 0.958 0.916 0.553
S6 0.640 0.281 0.505
S7 0.315 0.631 0.355
S8 0.505 0.010 0.271
S9 0.708 0.416 0.174
S10 0.042 0.084 0.053

## Properties
**Magnetic moment**: 4.9 μB per cell
**Energy relative to the elements, uncorrected**: -15.55 eV per formula unit
**V**: 393.2 Å³/cell
**Total energy**: -5.9920 eV per atom
**Symmetry**: No. 36

---

Entry from Alexandria via LeMat-Bulk: a geometry-optimized KRbTiAu2 structure (PBE).

a = 6.180 Å, b = 5.739 Å, c = 6.180 Å
α = 90.00°, β = 90.00°, γ = 90.00°
Fractional positions:
K1 0.500 0.500 0.500
Au1 0.000 0.000 0.500
Au2 0.500 0.000 0.000
Rb1 0.000 0.000 0.000
Ti1 0.000 0.500 0.000

## Properties
**Magnetic moment**: 3.8 μB per cell
**Formation energy**: 1033.8 meV per atom
**V**: 219.2 Å³/cell
**Total energy**: -2.2691 eV per atom
**Symmetry**: No. 123

---

Question: The highest V belongs to which entry?
Answer: Ce2DyZnS5

---

Question: Look up the V of the first one.
Answer: 393.2 Å³/cell